(1)
Tb2PmIr2 after structural relaxation, computed with PBE-GGA.

a b c (Å): 4.848 4.891 10.420
angles (deg): 90.00 90.03 90.00
Space group P2_1/m (No. 11)
Asymmetric unit:
1 Tb 0.250 0.250 0.003 (multiplicity 2)
2 Tb 0.250 0.250 0.338 (multiplicity 2)
3 Pm 0.251 0.250 0.671 (multiplicity 2)
4 Ir 0.250 0.750 0.491 (multiplicity 2)
5 Ir 0.250 0.750 0.842 (multiplicity 2)

As for the energy of formation: -683.2 meV per atom. As for the volume: 24.71 Å³ per atom. For the polymorph energy (0 for the lowest one), the calculation gives 0 meV per atom.

---

(2)
Tb3PmIr after structural relaxation, computed with PBE-GGA.

a b c (Å): 5.471 5.471 5.471
angles (deg): 90.00 90.00 90.00
Space group Pm-3m (No. 221)
Asymmetric unit:
1 Tb 0.000 0.000 0.500 (multiplicity 3)
2 Pm 0.500 0.500 0.500 (multiplicity 1)
3 Ir 0.000 0.000 0.000 (multiplicity 1)

As for the energy of formation: -261.8 meV per atom. As for the volume: 32.75 Å³ per atom. For the polymorph energy (0 for the lowest one), the calculation gives 58 meV per atom.

---

(3)
TbPm7Ir4 after structural relaxation, computed with PBE-GGA.

a b c (Å): 13.944 5.453 10.402
angles (deg): 90.00 126.35 90.00
Space group C2/m (No. 12)
Asymmetric unit:
1 Tb 0.000 0.000 0.000 (multiplicity 2)
2 Pm 0.000 0.500 0.000 (multiplicity 2)
3 Pm 0.093 0.000 0.377 (multiplicity 4)
4 Pm 0.165 0.500 0.621 (multiplicity 4)
5 Pm 0.208 0.000 0.873 (multiplicity 4)
6 Ir 0.066 0.500 0.785 (multiplicity 4)
7 Ir 0.201 0.500 0.322 (multiplicity 4)

As for the energy of formation: -286.7 meV per atom. As for the volume: 26.54 Å³ per atom.

---

(4)
Tb3PmIr after structural relaxation, computed with PBE-GGA.

a b c (Å): 7.681 6.580 6.253
angles (deg): 90.00 90.00 90.00
Space group Pmn2_1 (No. 31)
Asymmetric unit:
1 Tb 0.000 0.154 0.000 (multiplicity 2)
2 Tb 0.249 0.682 0.006 (multiplicity 4)
3 Pm 0.000 0.852 0.510 (multiplicity 2)
4 Ir 0.000 0.496 0.254 (multiplicity 2)

As for the energy of formation: -320.3 meV per atom. As for the volume: 31.60 Å³ per atom. For the polymorph energy (0 for the lowest one), the calculation gives 0 meV per atom.

---

(5)
TbPmIr after structural relaxation, computed with PBE-GGA.

a b c (Å): 3.522 3.522 13.040
angles (deg): 90.00 90.00 90.00
Space group I4mm (No. 107)
Asymmetric unit:
1 Tb 0.000 0.000 0.000 (multiplicity 2)
2 Pm 0.000 0.000 0.252 (multiplicity 2)
3 Ir 0.000 0.000 0.621 (multiplicity 2)

As for the energy of formation: -493.0 meV per atom. As for the volume: 26.96 Å³ per atom. For the polymorph energy (0 for the lowest one), the calculation gives 118 meV per atom.

---

(6)
Tb3PmIr2 after structural relaxation, computed with PBE-GGA.

a b c (Å): 6.864 13.729 7.065
angles (deg): 90.00 90.00 90.00
Space group Ibam (No. 72)
Asymmetric unit:
1 Tb 0.000 0.000 0.250 (multiplicity 4)
2 Tb 0.000 0.262 0.250 (multiplicity 8)
3 Pm 0.000 0.500 0.000 (multiplicity 4)
4 Ir 0.212 0.138 0.000 (multiplicity 8)

As for the energy of formation: -596.6 meV per atom. As for the volume: 27.74 Å³ per atom. For the polymorph energy (0 for the lowest one), the calculation gives 88 meV per atom.